## MnSeO4 (GGA+U)

Data for a relaxed MnSeO4 crystal.

Lattice parameters (Å, degrees): 5.7047 7.1995 5.9403 127.30 118.70 90.00
With the nearest neighbours (Å) after each atom.
Fractional coordinates of all 12 atoms:
O: 0.2737 0.7744 0.0489  1 Se 1.70
O: 0.2841 0.3390 0.5683  1 Se 1.66
O: 0.7263 0.2256 0.9511  1 Se 1.70
O: 0.2841 0.7293 0.5683  1 Se 1.66
O: 0.7751 0.7744 0.0489  1 Se 1.70
O: 0.7159 0.6610 0.4317  1 Se 1.66
O: 0.7159 0.2707 0.4317  1 Se 1.66
O: 0.2249 0.2256 0.9511  1 Se 1.70
Se: 0.4024 0.6524 0.8047  4 O 1.66-1.70
Se: 0.5976 0.3476 0.1953  4 O 1.66-1.70
Mn: 0.0000 0.0000 0.0000  6 O 2.18-2.30
Mn: 0.0000 0.5000 0.0000  6 O 2.18-2.30

DOS(E_F), states/eV per cell: 0.0
E_tot, eV/atom: -6.14